[1]
Material: La2Cd2Au15
Method: DFT, GGA-PBE
State: relaxed

Output
* VASP energy: -3.5316 eV per atom
* SG: R-3m, No. 166
* calculated volume: 393 Å³/f.u.

```
19
Lattice="-4.279 -5.520 -2.459 3.224 -1.065 -6.580 4.374 -5.694 1.810" Properties=species:S:1:pos:R:3 pbc="T T T"
Au 1.612 -0.533 -3.290
Au 0.568 -7.361 -1.450
Au -0.883 -7.076 -3.782
Au 0.011 -5.119 -5.514
Au 0.942 -2.420 -5.327
Au 2.752 -4.918 -5.779
Au 2.187 -2.847 0.905
Au 1.743 -5.641 0.512
Au -1.648 -5.573 -1.160
Au 3.574 -2.473 -4.029
Au -1.997 -4.165 -3.712
Au 4.025 -4.286 -0.742
Au 3.309 -7.160 -1.715
Au 4.202 -5.203 -3.446
Au -2.140 -2.760 -1.229
Cd 0.338 -1.252 -0.737
Cd 2.981 -11.027 -6.492
La 1.156 -4.277 -2.518
La 2.163 -8.002 -4.711
```


[2]
Material: KSr2W
Method: DFT, GGA-PBE
State: relaxed

Output
* E above lowest polymorph: 298 meV per atom
* SG: P4/mmm, No. 123
* calculated volume: 148 Å³/f.u.

```
4
Lattice="-1.796 3.762 0.855 -5.014 -2.727 1.464 1.842 -0.390 5.584" Properties=species:S:1:pos:R:3 pbc="T T T"
W -3.405 0.517 1.159
Sr -1.586 -1.558 3.524
Sr 0.000 0.000 0.000
K 0.023 1.686 3.219
```


[3]
Material: Cu2AsSe
Method: DFT, GGA-PBE
State: relaxed

Output
* E_form (uncorrected): 0.166 eV/atom
* SG: Cmm2, No. 35
* calculated volume: 70 Å³/f.u.

```
4
Lattice="-2.214 -1.407 0.951 1.038 -2.247 -1.288 4.551 -2.149 7.416" Properties=species:S:1:pos:R:3 pbc="T T T"
Se 1.957 -0.924 3.189
Cu 0.114 -0.054 0.185
Cu 0.398 -2.292 1.438
As 3.182 -3.607 5.975
```


[4]
Material: ZrFe2Br
Method: DFT, GGA-PBE
State: relaxed

Output
* E_form (uncorrected): 0.301 eV/atom
* E above lowest polymorph: 292 meV per atom
* SG: C2/m, No. 12
* calculated volume: 76 Å³/f.u.

```
4
Lattice="-0.947 1.976 -4.545 -0.492 -1.190 -4.879 -4.803 -0.791 0.954" Properties=species:S:1:pos:R:3 pbc="T T T"
Fe -1.829 0.692 -9.065
Fe -2.731 0.091 -4.594
Zr -1.561 -0.001 -2.118
Br -4.682 -0.004 -6.353
```


[5]
Material: LiCuCl2
Method: DFT, GGA-PBE
State: relaxed

Output
* E_form (uncorrected): -1.000 eV/atom
* SG: Cm, No. 8
* calculated volume: 80 Å³/f.u.

```
4
Lattice="-2.599 -0.613 6.211 -5.302 -1.075 4.054 0.647 -3.437 -0.075" Properties=species:S:1:pos:R:3 pbc="T T T"
Cu -3.946 -3.060 5.602
Cl -0.017 -0.450 0.118
Cl -5.383 -3.395 7.474
Li -1.534 -0.783 2.091
```


[6]
Material: Pr2YHo5Sc
Method: DFT, GGA-PBE
State: relaxed

Output
* VASP energy: -4.7552 eV per atom
* SG: I4/mcm, No. 140
* calculated volume: 286 Å³/f.u.

```
18
Lattice="8.512 0.000 0.000 0.000 8.512 0.000 -4.256 -4.256 7.891" Properties=species:S:1:pos:R:3 pbc="T T T"
Ho 4.256 4.256 0.000
Ho 6.052 6.716 2.265
Ho -2.460 1.796 5.626
Ho 2.460 -1.796 5.626
Ho 0.000 0.000 0.000
Ho 1.796 2.460 5.626
Ho -1.796 -2.460 5.626
Ho 6.716 2.460 2.265
Ho 2.460 1.796 2.265
Ho 1.796 6.052 2.265
Y 4.256 4.256 3.945
Y 0.000 0.000 3.945
Sc 0.000 4.256 3.945
Sc 4.256 0.000 3.945
Pr 5.282 1.026 0.000
Pr 7.486 5.282 0.000
Pr 3.230 7.486 0.000
Pr 1.026 3.230 0.000
```


Result set for spin magnetization: 0.0 3.1 0.0 4.1 0.0 0.0 μB/f.u., one per record in the order listed.